# Sr2Ag2As (PBE, relaxed)
# calculated formation energy = -0.396 eV per atom
# volume = 274 Å³ per cell
# final energy = -31.39 eV/cell
# distance to the lowest polymorph of the same formula = 0.000 eV/atom
data_Sr2Ag2As
_chemical_formula_sum 'Sr4 Ag4 As2'
_cell_length_a 7.728
_cell_length_b 7.728
_cell_length_c 4.594
_cell_angle_alpha 90.00
_cell_angle_beta 90.00
_cell_angle_gamma 90.00
_space_group_name_H-M_alt 'P 4/m b m'
_space_group_IT_number 127
_space_group_name_Hall '-P 4 2ab'
loop_
_atom_site_label
_atom_site_type_symbol
_atom_site_fract_x
_atom_site_fract_y
_atom_site_fract_z
Sr1 Sr 0.185 0.315 0.000
Ag1 Ag 0.124 0.624 0.500
As1 As 0.000 0.000 0.500